A plane-wave DFT calculation with PBE-GGA was carried out for RbBaMgBe2 after structural relaxation.

## Properties
* ρ: 2.87 g/cm3
* formation enthalpy at 0 K: 933 meV/atom
* DOS at the Fermi energy: 3.94 states/eV per cell
* M_tot: 0.9 Bohr magnetons per cell

abc: 5.1314 5.1314 5.8321
angles: 90.00 90.00 90.00
Last column: nearest neighbours and their distance in Å.
Fractional coordinates of all 5 atoms:
Be (0.0000, 0.5000, 0.0000)  2 Mg 2.57
Rb (0.0000, 0.0000, 0.5000)  2 Mg 2.92
Mg (0.0000, 0.0000, 0.0000)  4 Be 2.57
Ba (0.5000, 0.5000, 0.5000)  4 Rb 3.63, 8 Be 3.88
Be (0.5000, 0.0000, 0.0000)  2 Mg 2.57

A plane-wave DFT calculation with PBE-GGA was carried out for LaDyZn2Pd5 after structural relaxation.

## Properties
* ρ: 9.56 g/cm3
* formation enthalpy at 0 K: -665 meV/atom
* DOS at the Fermi energy: 4.01 states/eV per cell
* M_tot: 0.0 Bohr magnetons per cell

abc: 4.2112 4.2112 9.4494
angles: 90.00 90.00 90.00
Last column: nearest neighbours and their distance in Å.
Fractional coordinates of all 9 atoms:
Pd (0.0000, 0.5000, 0.7294)  2 Zn 2.50
La (0.0000, 0.0000, 0.5000)  12 Pd 2.98-3.02
Pd (0.5000, 0.0000, 0.2706)  2 Zn 2.50
Zn (0.5000, 0.5000, 0.1271)  1 Zn 2.40, 4 Pd 2.50
Dy (0.0000, 0.0000, 0.0000)  8 Zn 3.21, 8 Pd 3.31
Zn (0.5000, 0.5000, 0.8729)  1 Zn 2.40, 4 Pd 2.50
Pd (0.0000, 0.5000, 0.2706)  2 Zn 2.50
Pd (0.5000, 0.0000, 0.7294)  2 Zn 2.50
Pd (0.5000, 0.5000, 0.5000)  4 La 2.98, 8 Pd 3.02

A plane-wave DFT calculation with PBE-GGA was carried out for SbAsOs4 after structural relaxation.

## Properties
* ρ: 15.23 g/cm3
* DOS at the Fermi energy: 11.81 states/eV per cell
* M_tot: 0.0 Bohr magnetons per cell
* energy relative to the elements, uncorrected: 1011 meV per atom

abc: 5.2855 5.2855 5.2855
angles: 60.00 60.00 60.00
Last column: nearest neighbours and their distance in Å.
Fractional coordinates of all 6 atoms:
As (0.0000, 0.0000, 0.0000)  12 Os 3.10, 4 Sb 3.24
Os (0.3746, 0.3746, 0.3746)  6 Os 2.63-2.65
Os (0.8761, 0.3746, 0.3746)  6 Os 2.63-2.65
Os (0.3746, 0.8761, 0.3746)  6 Os 2.63-2.65
Sb (0.7500, 0.7500, 0.7500)  12 Os 3.10, 4 As 3.24
Os (0.3746, 0.3746, 0.8761)  6 Os 2.63-2.65

A plane-wave DFT calculation with PBE-GGA was carried out for TbY4Co after structural relaxation.

## Properties
* ρ: 4.89 g/cm3
* formation enthalpy at 0 K: 297 meV/atom
* DOS at the Fermi energy: 6.16 states/eV per cell
* M_tot: 0.6 Bohr magnetons per cell

abc: 4.6860 4.6849 8.8753
angles: 90.00 90.00 90.00
Last column: nearest neighbours and their distance in Å.
Fractional coordinates of all 6 atoms:
Y (0.5000, 0.0000, 0.3189)  2 Co 2.84
Y (0.5000, 0.0000, 0.6811)  2 Co 2.84
Y (0.0000, 0.5000, 0.6811)  2 Co 2.84
Y (0.0000, 0.5000, 0.3189)  2 Co 2.84
Co (0.5000, 0.5000, 0.5000)  8 Y 2.84
Tb (0.0000, 0.0000, 0.0000)  8 Y 3.67

A plane-wave DFT calculation with PBE-GGA was carried out for UAlW after structural relaxation.

## Properties
* relative energy among the computed polymorphs: 0 kJ/mol of formula units
* ρ: 14.11 g/cm3
* formation enthalpy at 0 K: 118 meV/atom
* DOS at the Fermi energy: 2.65 states/eV per cell
* M_tot: 0.7 Bohr magnetons per cell

abc: 2.7087 2.7087 7.4516
angles: 100.47 100.47 90.00
Last column: nearest neighbours and their distance in Å.
Fractional coordinates of all 3 atoms:
U (0.6639, 0.6639, 0.3278)  4 U 2.71
Al (0.9905, 0.9905, 0.9810)  4 Al 2.71, 4 W 2.83
W (0.3456, 0.3456, 0.6912)  4 W 2.71, 4 Al 2.83

A plane-wave DFT calculation with PBE-GGA was carried out for Na2LiZn3Sn4 after structural relaxation.

## Properties
* ρ: 4.99 g/cm3
* formation enthalpy at 0 K: -106 meV/atom
* DOS at the Fermi energy: 2.67 states/eV per cell
* M_tot: 0.0 Bohr magnetons per cell

abc: 4.4148 4.4148 12.3498
angles: 90.00 90.00 90.00
Last column: nearest neighbours and their distance in Å.
Fractional coordinates of all 10 atoms:
Sn (0.5000, 0.0000, 0.6368)  3 Zn 2.63-2.78, 2 Li 2.78
Na (0.0000, 0.5000, 0.7419)  4 Sn 3.38, 6 Zn 3.40-3.71, 2 Li 3.71
Sn (0.0000, 0.5000, 0.3632)  3 Zn 2.63-2.78, 2 Li 2.78
Zn (0.0000, 0.0000, 0.5000)  4 Sn 2.78
Zn (0.5000, 0.0000, 0.8500)  5 Sn 2.63-2.88
Sn (0.0000, 0.0000, 0.0000)  4 Zn 2.88, 4 Sn 3.12
Li (0.5000, 0.5000, 0.5000)  4 Sn 2.78
Zn (0.0000, 0.5000, 0.1500)  5 Sn 2.63-2.88
Na (0.5000, 0.0000, 0.2581)  4 Sn 3.38, 6 Zn 3.40-3.71, 2 Li 3.71
Sn (0.5000, 0.5000, 0.0000)  4 Zn 2.88, 4 Sn 3.12

A plane-wave DFT calculation with PBE-GGA was carried out for Ac2La2Zn3 after structural relaxation.

## Properties
* ρ: 7.05 g/cm3
* formation enthalpy at 0 K: -154 meV/atom
* DOS at the Fermi energy: 9.50 states/eV per cell
* M_tot: 0.0 Bohr magnetons per cell

abc: 9.1178 9.1178 9.1178
angles: 34.65 34.65 34.65
Last column: nearest neighbours and their distance in Å.
Fractional coordinates of all 7 atoms:
Ac (0.6198, 0.6198, 0.6198)  7 Zn 3.28-3.37
Zn (0.0000, 0.0000, 0.0000)  2 La 3.26, 6 Ac 3.36
La (0.8730, 0.8730, 0.8730)  5 Zn 3.13-3.32
Zn (0.2489, 0.2489, 0.2489)  4 La 3.13-3.32, 4 Ac 3.28-3.37
Ac (0.3802, 0.3802, 0.3802)  7 Zn 3.28-3.37
La (0.1270, 0.1270, 0.1270)  5 Zn 3.13-3.32
Zn (0.7511, 0.7511, 0.7511)  4 La 3.13-3.32, 4 Ac 3.28-3.37

A plane-wave DFT calculation with PBE-GGA was carried out for TbNb4Te8 after structural relaxation.

## Properties
* ρ: 6.87 g/cm3
* DOS at the Fermi energy: 4.86 states/eV per cell
* M_tot: 0.0 Bohr magnetons per cell
* energy relative to the elements, uncorrected: -493 meV per atom

abc: 7.5371 7.5289 8.7865
angles: 90.00 115.47 119.98
Last column: nearest neighbours and their distance in Å.
Fractional coordinates of all 13 atoms:
Te (0.9970, 0.7555, 0.2379)  3 Nb 2.79-2.86, 1 Tb 3.00
Te (0.0030, 0.2445, 0.7621)  3 Nb 2.79-2.86, 1 Tb 3.00
Te (0.0030, 0.7585, 0.7621)  3 Nb 2.79-2.86, 1 Tb 3.00
Te (0.4825, 0.2413, 0.2378)  3 Nb 2.78-2.86, 1 Tb 3.00
Te (0.9970, 0.2415, 0.2379)  3 Nb 2.79-2.86, 1 Tb 3.00
Nb (0.5000, 0.5000, 0.0000)  6 Te 2.83-2.86
Te (0.5175, 0.7587, 0.7622)  3 Nb 2.78-2.86, 1 Tb 3.00
Nb (0.0000, 0.5000, 0.0000)  6 Te 2.83-2.86
Te (0.4922, 0.7461, 0.2378)  3 Nb 2.83
Nb (0.0000, 0.0000, 0.0000)  6 Te 2.78-2.79
Te (0.5078, 0.2539, 0.7622)  3 Nb 2.83
Tb (0.0000, 0.5000, 0.5000)  6 Te 3.00
Nb (0.5000, 0.0000, 0.0000)  6 Te 2.83-2.86

A plane-wave DFT calculation with PBE-GGA was carried out for NaAcCl2O after structural relaxation.

## Properties
* ρ: 4.79 g/cm3
* DOS at the Fermi energy: 0.00 states/eV per cell
* M_tot: 0.0 Bohr magnetons per cell
* energy relative to the elements, uncorrected: -2586 meV per atom

abc: 4.1838 4.1838 13.3429
angles: 90.00 90.00 90.00
Last column: nearest neighbours and their distance in Å.
Fractional coordinates of all 10 atoms:
Cl (0.5000, 0.0000, 0.8887)  5 Na 2.76-2.97
Na (0.5000, 0.0000, 0.0958)  6 Cl 2.73-2.97
O (0.0000, 0.0000, 0.5000)  4 Ac 2.47
Na (0.0000, 0.5000, 0.9042)  6 Cl 2.73-2.97
Cl (0.5000, 0.0000, 0.3004)  1 Na 2.73
Ac (0.0000, 0.5000, 0.4019)  4 O 2.47
Cl (0.0000, 0.5000, 0.6996)  1 Na 2.73
Cl (0.0000, 0.5000, 0.1113)  5 Na 2.76-2.97
O (0.5000, 0.5000, 0.5000)  4 Ac 2.47
Ac (0.5000, 0.0000, 0.5981)  4 O 2.47

A plane-wave DFT calculation with PBE-GGA was carried out for BOsBrN2 after structural relaxation.

## Properties
* ρ: 7.41 g/cm3
* DOS at the Fermi energy: 2.34 states/eV per cell
* M_tot: 0.0 Bohr magnetons per cell
* energy relative to the elements, uncorrected: 1115 meV per atom

abc: 3.7602 4.8994 3.7602
angles: 90.00 90.00 90.00
Last column: nearest neighbours and their distance in Å.
Fractional coordinates of all 5 atoms:
Br (0.5000, 0.5000, 0.5000)  4 B 2.66
N (0.0000, 0.0000, 0.5000)  2 Os 1.88
N (0.5000, 0.0000, 0.0000)  2 Os 1.88
B (0.0000, 0.5000, 0.0000)  2 Os 2.45, 4 Br 2.66
Os (0.0000, 0.0000, 0.0000)  4 N 1.88

A plane-wave DFT calculation with PBE-GGA was carried out for Ac6P3S2Cl after structural relaxation.

## Properties
* ρ: 7.21 g/cm3
* DOS at the Fermi energy: 5.53 states/eV per cell
* M_tot: 0.0 Bohr magnetons per cell
* energy relative to the elements, uncorrected: -1727 meV per atom

abc: 4.3816 8.7786 9.7961
angles: 102.71 102.92 90.00
Last column: nearest neighbours and their distance in Å.
Fractional coordinates of all 12 atoms:
Ac (0.0011, 0.7336, 0.0022)  3 P 3.00-3.05, 1 S 3.11, 2 Cl 3.21
P (0.8352, 0.1657, 0.6704)  6 Ac 3.01-3.09
Cl (0.5000, 0.0000, 0.0000)  6 Ac 3.21-3.22
Ac (0.6661, 0.5873, 0.3323)  3 P 3.09, 3 S 3.13
P (0.1648, 0.8343, 0.3296)  6 Ac 3.01-3.09
Ac (0.9989, 0.2664, 0.9978)  3 P 3.00-3.05, 1 S 3.11, 2 Cl 3.21
P (0.5000, 0.5000, 0.0000)  6 Ac 3.00-3.09
S (0.1658, 0.3318, 0.3316)  6 Ac 3.11-3.13
Ac (0.3339, 0.4127, 0.6677)  3 P 3.09, 3 S 3.13
Ac (0.3267, 0.9166, 0.6534)  3 P 3.01-3.07, 2 S 3.12, 1 Cl 3.22
S (0.8342, 0.6682, 0.6684)  6 Ac 3.11-3.13
Ac (0.6733, 0.0834, 0.3466)  3 P 3.01-3.07, 2 S 3.12, 1 Cl 3.22

A plane-wave DFT calculation with PBE-GGA was carried out for Co2NiBr after structural relaxation.

## Properties
* relative energy among the computed polymorphs: 123 kJ/mol of formula units
* ρ: 8.00 g/cm3
* DOS at the Fermi energy: 6.08 states/eV per cell
* M_tot: 3.7 Bohr magnetons per cell
* energy relative to the elements, uncorrected: 721 meV per atom

abc: 4.9530 4.9530 4.9530
angles: 145.31 128.93 63.22
Last column: nearest neighbours and their distance in Å.
Fractional coordinates of all 4 atoms:
Co (0.2409, 0.7409, 0.5000)  2 Co 2.55, 4 Br 2.60, 2 Ni 2.70
Br (0.7561, 0.2561, 0.5000)  6 Co 2.49-2.60, 2 Ni 2.56
Ni (0.5086, 0.5086, 0.0000)  2 Br 2.56, 6 Co 2.60-2.70
Co (0.9944, 0.9944, 0.0000)  2 Br 2.49, 2 Co 2.55, 4 Ni 2.60